(1)
Computed, not measured: crystalline Ho2BiRu at its relaxed geometry at the PBE level of DFT.

abc: 9.169 9.169 9.169
angles: 22.92 22.92 22.92
Fractional positions:
Ho  0.235  0.235  0.235
Ho  0.765  0.765  0.765
Bi  0.000  0.000  0.000
Ru  0.500  0.500  0.500

## Properties
Spin magnetization   0.0 μB per cell
Energy above the lowest structure with this stoichiometry   0.235 eV/atom
Formation energy from the elements   -0.32 eV/atom
SG   R-3m

---

(2)
Computed, not measured: crystalline Ho5Bi4Ru at its relaxed geometry at the PBE level of DFT.

abc: 7.554 7.554 7.554
angles: 99.90 99.90 131.02
Fractional positions:
Ho  0.000  0.000  0.000
Ho  0.106  0.280  0.641
Ho  0.280  0.638  0.174
Ho  0.465  0.106  0.826
Ho  0.638  0.465  0.359
Bi  0.171  0.956  0.387
Bi  0.569  0.784  0.613
Bi  0.784  0.171  0.216
Bi  0.956  0.569  0.784
Ru  0.444  0.444  0.000

## Properties
Spin magnetization   0.0 μB per cell
Formation energy from the elements   -0.59 eV/atom
SG   I4

---

(3)
Computed, not measured: crystalline Ho4BiRu2 at its relaxed geometry at the PBE level of DFT.

abc: 8.109 8.109 6.318
angles: 104.37 104.37 110.92
Fractional positions:
Ho  0.063  0.937  0.500
Ho  0.189  0.543  0.266
Ho  0.328  0.993  0.116
Ho  0.463  0.628  0.857
Ho  0.543  0.189  0.766
Ho  0.628  0.463  0.357
Ho  0.937  0.063  0.000
Ho  0.993  0.328  0.616
Bi  0.635  0.883  0.431
Bi  0.883  0.635  0.931
Ru  0.149  0.709  0.687
Ru  0.275  0.280  0.945
Ru  0.280  0.275  0.445
Ru  0.709  0.149  0.187

## Properties
Spin magnetization   0.0 μB per cell
Formation energy from the elements   -0.45 eV/atom
SG   Cc

---

(4)
Computed, not measured: crystalline Ho8BiRu2 at its relaxed geometry at the PBE level of DFT.

abc: 7.827 7.827 5.563
angles: 97.35 97.35 112.94
Fractional positions:
Ho  0.069  0.334  0.585
Ho  0.249  0.751  0.000
Ho  0.334  0.069  0.585
Ho  0.393  0.393  0.207
Ho  0.607  0.607  0.793
Ho  0.666  0.931  0.415
Ho  0.751  0.249  0.000
Ho  0.931  0.666  0.415
Bi  0.000  0.000  0.000
Ru  0.311  0.689  0.500
Ru  0.689  0.311  0.500

## Properties
Spin magnetization   0.0 μB per cell
Formation energy from the elements   -0.31 eV/atom
SG   C2/m

---

(5)
Computed, not measured: crystalline Ho2BiRu at its relaxed geometry at the PBE level of DFT.

abc: 8.687 8.687 6.841
angles: 113.15 113.15 102.85
Fractional positions:
Ho  0.076  0.327  0.190
Ho  0.077  0.326  0.712
Ho  0.326  0.077  0.212
Ho  0.327  0.076  0.690
Ho  0.673  0.924  0.310
Ho  0.674  0.923  0.788
Ho  0.923  0.674  0.288
Ho  0.924  0.673  0.810
Bi  0.277  0.723  0.750
Bi  0.471  0.529  0.250
Bi  0.529  0.471  0.750
Bi  0.723  0.277  0.250
Ru  0.000  0.000  0.250
Ru  0.000  0.000  0.750
Ru  0.244  0.756  0.250
Ru  0.756  0.244  0.750

## Properties
Spin magnetization   0.0 μB per cell
Energy above the lowest structure with this stoichiometry   0.109 eV/atom
Formation energy from the elements   -0.44 eV/atom
SG   C2/c

---

(6)
Computed, not measured: crystalline Ho6BiRu at its relaxed geometry at the PBE level of DFT.

abc: 6.797 6.801 7.676
angles: 63.72 63.78 60.03
Fractional positions:
Ho  0.038  0.416  0.269
Ho  0.224  0.962  0.730
Ho  0.416  0.776  0.270
Ho  0.584  0.224  0.730
Ho  0.776  0.038  0.270
Ho  0.962  0.584  0.731
Bi  0.500  0.500  0.000
Ru  0.000  0.000  0.500

## Properties
Spin magnetization   0.0 μB per cell
Formation energy from the elements   -0.14 eV/atom
SG   P-1

---

(7)
Computed, not measured: crystalline Ho5Bi2Ru at its relaxed geometry at the PBE level of DFT.

abc: 8.165 8.165 14.648
angles: 90.00 90.00 140.08
Fractional positions:
Ho  0.051  0.949  0.627
Ho  0.051  0.949  0.873
Ho  0.283  0.717  0.609
Ho  0.283  0.717  0.891
Ho  0.301  0.699  0.250
Ho  0.699  0.301  0.750
Ho  0.717  0.283  0.109
Ho  0.717  0.283  0.391
Ho  0.949  0.051  0.127
Ho  0.949  0.051  0.373
Bi  0.145  0.855  0.063
Bi  0.145  0.855  0.437
Bi  0.855  0.145  0.563
Bi  0.855  0.145  0.937
Ru  0.174  0.826  0.750
Ru  0.826  0.174  0.250

## Properties
Spin magnetization   0.0 μB per cell
Formation energy from the elements   -0.19 eV/atom
SG   Cmcm

---

(8)
Computed, not measured: crystalline HoBiRu2 at its relaxed geometry at the PBE level of DFT.

abc: 4.723 4.723 4.723
angles: 60.00 60.00 60.00
Fractional positions:
Ho  0.000  0.000  0.000
Bi  0.500  0.500  0.500
Ru  0.250  0.250  0.250
Ru  0.750  0.750  0.750

## Properties
Spin magnetization   0.0 μB per cell
Formation energy from the elements   -0.20 eV/atom
SG   Fm-3m

---

(9)
Computed, not measured: crystalline Ho7Bi2Ru2 at its relaxed geometry at the PBE level of DFT.

abc: 9.588 9.588 9.588
angles: 156.23 63.66 121.91
Fractional positions:
Ho  0.000  0.000  0.000
Ho  0.062  0.379  0.683
Ho  0.087  0.744  0.343
Ho  0.402  0.744  0.657
Ho  0.450  0.583  0.866
Ho  0.696  0.379  0.317
Ho  0.717  0.583  0.134
Bi  0.332  0.332  0.000
Bi  0.739  0.239  0.500
Ru  0.310  0.068  0.242
Ru  0.826  0.068  0.758

## Properties
Spin magnetization   0.0 μB per cell
Formation energy from the elements   -0.48 eV/atom
SG   Imm2

---

(10)
Computed, not measured: crystalline Ho5BiRu at its relaxed geometry at the PBE level of DFT.

abc: 7.285 7.285 9.817
angles: 104.90 104.90 71.18
Fractional positions:
Ho  0.092  0.340  0.647
Ho  0.100  0.900  0.750
Ho  0.179  0.626  0.023
Ho  0.340  0.092  0.147
Ho  0.374  0.821  0.477
Ho  0.626  0.179  0.523
Ho  0.660  0.908  0.853
Ho  0.821  0.374  0.977
Ho  0.900  0.100  0.250
Ho  0.908  0.660  0.353
Bi  0.460  0.540  0.750
Bi  0.540  0.460  0.250
Ru  0.000  0.000  0.000
Ru  0.000  0.000  0.500

## Properties
Spin magnetization   0.0 μB per cell
Formation energy from the elements   -0.13 eV/atom
SG   C2/c

---

(11)
Computed, not measured: crystalline Ho12Bi6Ru at its relaxed geometry at the PBE level of DFT.

abc: 8.631 8.631 8.631
angles: 99.76 99.76 99.76
Fractional positions:
Ho  0.002  0.941  0.690
Ho  0.059  0.310  0.998
Ho  0.203  0.539  0.412
Ho  0.310  0.998  0.059
Ho  0.412  0.203  0.539
Ho  0.461  0.588  0.797
Ho  0.539  0.412  0.203
Ho  0.588  0.797  0.461
Ho  0.690  0.002  0.941
Ho  0.797  0.461  0.588
Ho  0.941  0.690  0.002
Ho  0.998  0.059  0.310
Bi  0.116  0.320  0.652
Bi  0.320  0.652  0.116
Bi  0.348  0.884  0.680
Bi  0.652  0.116  0.320
Bi  0.680  0.348  0.884
Bi  0.884  0.680  0.348
Ru  0.000  0.000  0.000

## Properties
Spin magnetization   0.0 μB per cell
Formation energy from the elements   -0.45 eV/atom
SG   R-3

---

(12)
Computed, not measured: crystalline Ho2BiRu at its relaxed geometry at the PBE level of DFT.

abc: 3.421 3.421 8.330
angles: 90.00 90.00 90.00
Fractional positions:
Ho  0.000  0.000  0.198
Ho  0.000  0.000  0.802
Bi  0.500  0.500  0.500
Ru  0.500  0.500  0.000

## Properties
Spin magnetization   0.0 μB per cell
Energy above the lowest structure with this stoichiometry   0.000 eV/atom
Formation energy from the elements   -0.55 eV/atom
SG   P4/mmm